The following is a DFT calculation (PBE-GGA) of crystalline LiSnHg6 at its relaxed geometry.

Results
Formation energy from the elements   -0.055 eV per atom
Energy above the most stable polymorph in this dataset   0 kJ/mol of formula units
Total magnetization   0.0 μB/cell
Density of states at the Fermi level   2.5 states/eV/cell

abc: 4.5009 4.5009 9.5871
angles: 90.00 90.00 90.00
With the nearest neighbours (Å) after each atom.
Space group P4/mmm (No. 123)
Unique sites:
Li  0.0000  0.0000  0.0000 x1  12 Hg 3.18
Sn  0.0000  0.0000  0.5000 x1  12 Hg 3.18-3.40
Hg  0.0000  0.5000  0.2339 x4  8 Hg 3.18-3.40, 2 Li 3.18, 2 Sn 3.40
Hg  0.5000  0.5000  0.0000 x1  8 Hg 3.18, 4 Li 3.18
Hg  0.5000  0.5000  0.5000 x1  4 Sn 3.18, 8 Hg 3.40



The following is a DFT calculation (PBE-GGA) of crystalline Li4Sn2Hg5 at its relaxed geometry.

Results
Formation energy from the elements   -0.243 eV per atom
Total magnetization   0.0 μB/cell
Density of states at the Fermi level   6.8 states/eV/cell

abc: 16.0005 4.7116 6.1812
angles: 90.00 91.30 90.00
With the nearest neighbours (Å) after each atom.
Space group C2/m (No. 12)
Unique sites:
Li  0.0394  0.0000  0.2436 x4  5 Hg 2.85-3.02, 2 Sn 3.00
Li  0.1813  0.5000  0.4368 x4  7 Hg 2.84-3.00, 1 Sn 3.06
Sn  0.0969  0.5000  0.9870 x4  3 Li 3.00-3.06, 1 Sn 3.11, 6 Hg 3.14-3.35
Hg  0.0000  0.5000  0.5000 x2  6 Li 2.92-2.94
Hg  0.1365  0.0000  0.6685 x4  5 Li 2.86-3.02, 2 Sn 3.14
Hg  0.2155  0.0000  0.1826 x4  4 Li 2.84-2.89



The following is a DFT calculation (PBE-GGA) of crystalline Li6Sn5Hg at its relaxed geometry.

Results
Formation energy from the elements   -0.328 eV per atom
Total magnetization   0.0 μB/cell
Density of states at the Fermi level   2.8 states/eV/cell

abc: 4.7712 6.9522 7.4661
angles: 89.98 75.17 89.99
With the nearest neighbours (Å) after each atom.
Space group P-1 (No. 2)
Unique sites:
Li  0.0007  0.2624  0.4990 x2  2 Hg 2.90, 6 Sn 2.96-3.02
Li  0.3447  0.2506  0.8263 x2  1 Hg 2.93, 7 Sn 2.93-3.03, 1 Li 3.27
Li  0.3448  0.7489  0.8258 x2  1 Hg 2.92, 7 Sn 2.93-3.03, 1 Li 3.26
Sn  0.1600  0.9996  0.1681 x2  8 Li 2.94-3.03, 2 Sn 3.25-3.29
Sn  0.1650  0.5010  0.1590 x2  8 Li 2.93-2.97, 1 Sn 3.17
Sn  0.5000  0.0000  0.5000 x1  8 Li 2.93-3.00
Hg  0.5000  0.5000  0.5000 x1  8 Li 2.90-2.93



The following is a DFT calculation (PBE-GGA) of crystalline Li6Sn6Hg at its relaxed geometry.

Results
Formation energy from the elements   -0.154 eV per atom
Total magnetization   0.0 μB/cell
Density of states at the Fermi level   13.5 states/eV/cell

abc: 5.8286 11.5041 9.4671
angles: 90.00 90.00 90.00
With the nearest neighbours (Å) after each atom.
Space group Cmmm (No. 65)
Unique sites:
Li  0.0000  0.0000  0.1909 x4  1 Hg 2.93, 2 Sn 2.96
Li  0.0000  0.3456  0.0000 x4  6 Sn 2.91-3.02
Li  0.0000  0.3570  0.5000 x4  6 Sn 2.94-3.01
Sn  0.0000  0.5000  0.2431 x4  6 Li 2.91-2.96, 4 Sn 3.23
Sn  0.2500  0.2500  0.2534 x8  4 Sn 2.91-3.23, 4 Li 3.01-3.02
Hg  0.0000  0.0000  0.5000 x2  2 Li 2.93



The following is a DFT calculation (PBE-GGA) of crystalline LiSnHg5 at its relaxed geometry.

Results
Formation energy from the elements   -0.053 eV per atom
Total magnetization   0.0 μB/cell
Density of states at the Fermi level   10.3 states/eV/cell

abc: 5.7567 12.7069 10.0282
angles: 90.00 103.26 90.00
With the nearest neighbours (Å) after each atom.
Space group C2/c (No. 15)
Unique sites:
Li  0.0000  0.2357  0.2500 x4  8 Hg 2.96-3.25, 2 Sn 3.17
Sn  0.2500  0.2500  0.0000 x4  6 Hg 2.94-3.08, 2 Li 3.17
Hg  0.0000  0.3600  0.7500 x4  2 Sn 2.94, 2 Hg 3.04, 2 Li 3.12
Hg  0.1990  0.1173  0.5052 x8  2 Li 2.96-3.25, 3 Hg 3.04-3.25, 1 Sn 3.08
Hg  0.2325  0.4384  0.1826 x8  1 Sn 3.03, 6 Hg 3.04-3.26, 1 Li 3.05



The following is a DFT calculation (PBE-GGA) of crystalline Li4SnHg at its relaxed geometry.

Results
Formation energy from the elements   -0.281 eV per atom
Energy above the most stable polymorph in this dataset   30 kJ/mol of formula units
Total magnetization   0.0 μB/cell
Density of states at the Fermi level   6.5 states/eV/cell

abc: 12.8492 7.6575 4.9932
angles: 90.00 103.04 90.00
With the nearest neighbours (Å) after each atom.
Space group C2/m (No. 12)
Unique sites:
Li  0.0000  0.1862  0.0000 x4  2 Hg 2.85, 3 Li 2.85-2.96, 2 Sn 2.91
Li  0.1512  0.1879  0.6310 x8  4 Li 2.76-2.96, 1 Hg 2.81, 3 Sn 2.93-3.08
Li  0.1607  0.5000  0.2958 x4  3 Hg 2.64-2.94, 4 Li 2.76-2.94, 1 Sn 2.90
Sn  0.2024  0.0000  0.1552 x4  10 Li 2.90-3.15, 1 Hg 2.98
Hg  0.0612  0.5000  0.7708 x4  7 Li 2.64-2.94, 1 Hg 2.80



The following is a DFT calculation (PBE-GGA) of crystalline Li3SnHg12 at its relaxed geometry.

Results
Formation energy from the elements   -0.107 eV per atom
Total magnetization   0.0 μB/cell
Density of states at the Fermi level   7.2 states/eV/cell

abc: 4.4649 4.4649 18.6262
angles: 90.00 90.00 90.00
With the nearest neighbours (Å) after each atom.
Space group P4/mmm (No. 123)
Unique sites:
Li  0.0000  0.0000  0.0000 x1  12 Hg 3.16-3.18
Li  0.0000  0.0000  0.2432 x2  12 Hg 3.16-3.18
Sn  0.0000  0.0000  0.5000 x1  12 Hg 3.16-3.39
Hg  0.0000  0.5000  0.1214 x4  8 Hg 3.16-3.18, 4 Li 3.18
Hg  0.0000  0.5000  0.3632 x4  8 Hg 3.16-3.39, 2 Li 3.16, 2 Sn 3.39
Hg  0.5000  0.5000  0.0000 x1  4 Li 3.16, 8 Hg 3.18
Hg  0.5000  0.5000  0.2421 x2  4 Li 3.16, 8 Hg 3.17
Hg  0.5000  0.5000  0.5000 x1  4 Sn 3.16, 8 Hg 3.39



The following is a DFT calculation (PBE-GGA) of crystalline LiSnHg2 at its relaxed geometry.

Results
Formation energy from the elements   -0.135 eV per atom
Total magnetization   0.0 μB/cell
Density of states at the Fermi level   5.6 states/eV/cell

abc: 8.1466 8.7628 5.6653
angles: 90.00 109.52 90.00
With the nearest neighbours (Å) after each atom.
Space group P2_1/c (No. 14)
Unique sites:
Li  0.1730  0.0108  0.3577 x4  5 Hg 2.81-3.08, 1 Sn 2.97
Sn  0.1953  0.6721  0.3595 x4  4 Hg 2.97-3.19, 4 Li 2.97-3.30, 2 Sn 3.14
Hg  0.1564  0.1651  0.8258 x4  3 Li 2.85-3.02, 2 Sn 2.97-3.06, 1 Hg 3.13
Hg  0.4810  0.1303  0.3110 x4  2 Li 2.81-3.08, 2 Hg 3.07-3.13, 1 Sn 3.12



total magnetization of number 3 (Li6Sn5Hg)? 0.0 μB/cell